This record from Alexandria via LeMat-Bulk describes a relaxed Ac8Ir3SeCl4 crystal. The functional is PBE.

Results
Magnetization (μB per formula unit): 0.0
Calculated total energy (hartree per atom): -0.211
Uncorrected formation energy (eV/atom): -1.34

a b c (Å): 8.8735 9.3534 8.8725
angles (deg): 118.34 120.00 90.00
Closest atoms and distances in Å follow each position.
Atoms (fractional coordinates):
Ir 0.0000 0.5000 0.5000  6 Ac 2.97-3.01
Cl 0.0000 0.0000 0.0000  6 Ac 3.47-3.49
Ac 0.2461 0.7080 0.4921  2 Ir 2.97, 1 Se 3.17, 1 Cl 3.32
Se 0.0000 0.5000 0.0000  6 Ac 3.17
Cl 0.0000 0.0000 0.5000  6 Ac 3.47-3.49
Ac 0.2838 0.2919 0.0377  2 Ir 2.97, 1 Se 3.17, 1 Cl 3.32
Ac 0.7162 0.7081 0.9623  2 Ir 2.97, 1 Se 3.17, 1 Cl 3.32
Ac 0.2461 0.7081 0.9623  2 Ir 2.97, 1 Se 3.17, 1 Cl 3.32
Ac 0.7338 0.7012 0.4677  3 Ir 3.01
Ir 0.5000 0.5000 0.5000  6 Ac 2.97-3.01
Ac 0.7539 0.2920 0.5079  2 Ir 2.97, 1 Se 3.17, 1 Cl 3.32
Cl 0.5000 0.0000 0.5000  6 Ac 3.47-3.49
Cl 0.5000 0.0000 0.0000  6 Ac 3.32
Ir 0.5000 0.5000 0.0000  6 Ac 2.97-3.01
Ac 0.2662 0.2988 0.5323  3 Ir 3.01
Ac 0.7539 0.2919 0.0377  2 Ir 2.97, 1 Se 3.17, 1 Cl 3.32